A plane-wave DFT calculation with PBE-GGA was carried out for an optimized crystal structure of Pm2Ho6Sc5.

Formation enthalpy at 0 K   0.1207 eV/atom

Lattice parameters (Å, degrees): 11.3849 19.3638 3.4762 90.00 90.00 90.00
Closest atoms and distances in Å follow each position.
Space group Pbam (No. 55)
Asymmetric unit:
Pm: 0.1541 0.2172 0.0000  4 Ho 3.36-3.60, 6 Sc 3.43-3.71, 2 Pm 3.48
Ho: 0.0556 0.9205 0.0000  6 Sc 3.31-3.46, 5 Ho 3.33-3.61, 1 Pm 3.58
Ho: 0.0875 0.6335 0.0000  6 Sc 3.27-3.40, 1 Pm 3.36, 4 Ho 3.47-3.48
Ho: 0.1753 0.3793 0.5000  2 Sc 3.07-3.18
Sc: 0.0000 0.5000 0.5000  6 Ho 3.07-3.27
Sc: 0.1052 0.7778 0.5000  5 Ho 3.18-3.31, 4 Pm 3.43-3.45, 2 Sc 3.48
Sc: 0.1986 0.0498 0.5000  7 Ho 3.40-3.60, 3 Sc 3.48-3.56, 2 Pm 3.71

***

A plane-wave DFT calculation with PBE-GGA was carried out for an optimized crystal structure of Pm7Ho4Sc.

E above lowest polymorph   230 kJ/mol of formula units
Formation enthalpy at 0 K   0.2158 eV/atom

Lattice parameters (Å, degrees): 16.1405 5.8955 9.3381 90.00 116.42 90.00
Closest atoms and distances in Å follow each position.
Space group C2/m (No. 12)
Asymmetric unit:
Pm: 0.0000 0.0000 0.0000  2 Sc 2.95
Pm: 0.0792 0.5000 0.4338  2 Pm 3.30-3.39, 5 Ho 3.42-3.69, 1 Sc 3.67
Pm: 0.2025 0.5000 0.2204  1 Sc 2.99, 2 Ho 3.23-3.33, 1 Pm 3.27
Pm: 0.2089 0.5000 0.8748  5 Pm 3.27-3.63, 2 Ho 3.60
Ho: 0.0743 0.0000 0.6970  6 Pm 3.33-3.69, 2 Ho 3.38-3.72
Ho: 0.1749 0.0000 0.3963  7 Pm 3.23-3.56
Sc: 0.0000 0.5000 0.0000  4 Pm 2.95-2.99

***

A plane-wave DFT calculation with PBE-GGA was carried out for an optimized crystal structure of Pm4HoSc2.

E above lowest polymorph   104 kJ/mol of formula units
Formation enthalpy at 0 K   0.1978 eV/atom

Lattice parameters (Å, degrees): 5.5914 11.4651 13.5319 90.00 90.10 90.00
Closest atoms and distances in Å follow each position.
Space group C2/c (No. 15)
Asymmetric unit:
Pm: 0.9998 0.0093 0.1108  1 Pm 3.01, 1 Sc 3.09, 1 Ho 3.17
Pm: 0.0000 0.3402 0.0053  7 Pm 3.48-3.69, 3 Sc 3.57-3.89, 1 Ho 3.75
Ho: 0.0000 0.2127 0.7500  2 Sc 2.89, 2 Pm 3.17
Sc: 0.0000 0.2234 0.2500  2 Ho 2.89, 2 Pm 3.09, 1 Sc 3.22
Sc: 0.0000 0.4962 0.7500  1 Sc 3.22, 1 Ho 3.25, 4 Pm 3.37